No. 1
RbTa3Ti | Alexandria via LeMat-Bulk | PBEsol | optimized geometry; spin magnetization = 0.16 μB/atom; DFT formation energy = 2.964 eV per atom
1.0
-4.612 0.331 0.966
-0.261 -4.702 0.362
0.987 0.300 4.609
Ta Rb Ti
3 1 1
Cartesian
0.494 0.150 2.305
-2.306 0.165 0.483
-0.131 -2.351 0.181
0.000 0.000 0.000
-1.943 -2.035 2.969

No. 2
Si2NiW | Alexandria via LeMat-Bulk | PBEsol | optimized geometry; ΔE_f (raw) = -0.83 eV per formula unit; spin magnetization = 0.00 μB/atom
1.0
2.640 0.000 0.036
0.000 4.230 0.000
-0.059 0.000 4.608
W Si Ni
1 2 1
Cartesian
1.289 0.000 2.371
0.000 0.000 0.088
2.596 2.115 3.402
2.626 2.115 1.139

No. 3
Ba2AlFe | Alexandria via LeMat-Bulk | PBEsol | optimized geometry; spin magnetization = 0.47 μB/atom; DFT formation energy = 0.310 eV per atom
1.0
4.522 0.000 0.000
0.000 5.025 0.000
0.000 -2.513 5.775
Fe Ba Al
1 2 1
Cartesian
0.000 2.513 3.312
0.000 0.000 1.211
2.261 0.000 4.592
2.261 2.513 2.389

No. 4
CsZrIr3 | Alexandria via LeMat-Bulk | PBEsol | optimized geometry; spin magnetization = 0.00 μB/atom; DFT formation energy = 2.631 eV per atom
1.0
4.852 0.000 0.000
0.000 4.852 0.000
0.000 0.000 4.852
Ir Zr Cs
3 1 1
Cartesian
0.000 2.426 0.000
0.000 0.000 2.426
2.426 0.000 0.000
2.426 2.426 2.426
0.000 0.000 0.000

No. 5
NiHRu2 | Alexandria via LeMat-Bulk | PBEsol | optimized geometry; total energy = -27.31 eV/cell; spin magnetization = 0.00 μB/atom
1.0
-2.426 3.052 -0.360
-3.805 -0.596 -0.708
-2.649 0.735 2.788
Ni Ru H
1 2 1
Cartesian
-4.440 1.596 0.860
-2.220 0.798 0.430
-6.660 2.393 1.290
0.000 0.000 0.000

No. 6
Xe | Alexandria via LeMat-Bulk | PBEsol | optimized geometry; spin magnetization = 0.00 μB/atom; DFT formation energy = 0.010 eV per atom
1.0
4.426 0.000 0.000
-2.213 3.833 0.000
0.000 0.000 14.960
Xe
4
Cartesian
0.000 0.000 0.000
2.213 1.278 11.220
0.000 0.000 7.480
0.000 2.555 3.740

No. 7
RbYP2O7 | Alexandria via LeMat-Bulk | PBEsol | optimized geometry; ΔE_f (raw) = -29.90 eV per formula unit; spin magnetization = 0.00 μB/atom
1.0
-4.215 2.431 -6.010
-5.632 -3.508 5.632
-1.254 9.772 4.832
O Y Rb P
28 4 4 8
Cartesian
-5.104 10.010 1.571
-7.240 6.112 0.560
-4.471 4.801 -0.384
-6.859 -0.290 0.782
-4.816 10.917 -0.748
-6.364 1.197 2.741
-5.997 -1.315 2.883
-9.235 4.582 0.883
-4.242 8.985 3.672
-1.972 4.541 -0.004
-7.472 4.766 2.662
-4.804 -0.198 4.855
-1.866 4.113 3.571
-7.037 11.154 0.449
-9.129 4.154 4.458
-3.861 2.583 3.895
-4.736 7.498 1.713
-7.611 6.202 4.756
-2.041 1.970 2.244
-6.630 3.894 4.838
-3.489 2.493 -0.302
-6.285 -2.222 5.202
-4.439 0.072 1.470
-6.661 8.623 2.984
-9.060 6.725 2.210
-3.629 3.929 1.792
-4.064 -2.459 4.005
-6.297 8.893 -0.401
-5.727 1.869 4.777
-8.574 8.063 3.972
-5.374 6.826 -0.323
-2.527 0.632 0.482
-6.112 2.185 -1.606
-9.113 1.867 1.921
-1.988 6.828 2.533
-4.988 6.510 6.060
-5.838 10.251 0.145
-7.747 4.761 4.268
-8.281 5.594 1.526
-5.210 8.697 2.530
-5.263 -1.556 4.309
-5.890 -0.002 1.924
-2.820 3.101 2.928
-3.354 3.933 0.187

No. 8
Cd2Cu2Sb | Alexandria via LeMat-Bulk | PBEsol | optimized geometry; ΔE_f (raw) = 0.86 eV per formula unit; spin magnetization = 0.00 μB/atom
1.0
-2.604 1.929 -0.926
-1.209 -2.529 -1.871
-2.552 -2.513 8.080
Cd Cu Sb
2 2 1
Cartesian
-3.024 -1.005 0.277
-3.341 -2.108 5.007
-2.834 -2.671 2.405
-3.531 -0.442 2.878
0.000 0.000 0.000

No. 9
Sr3Ge2B6O16 | Alexandria via LeMat-Bulk | PBEsol | optimized geometry; ΔE_f (raw) = -68.53 eV per formula unit; spin magnetization = 0.00 μB/atom
1.0
4.995 -0.008 0.001
0.048 7.323 0.016
1.878 1.930 8.044
Sr O B Ge
3 16 6 2
Cartesian
0.963 4.626 4.030
5.947 8.060 5.982
0.974 1.185 2.080
5.078 5.491 6.539
4.092 6.450 4.718
3.710 3.328 7.692
2.828 2.794 3.344
1.843 3.754 1.523
3.968 2.588 1.192
3.210 5.916 0.370
3.735 7.104 2.445
1.881 6.960 3.941
3.186 2.140 5.617
5.039 2.284 4.121
2.987 4.533 5.669
6.452 3.040 6.904
0.468 6.204 1.158
2.952 6.656 6.870
3.934 4.711 2.393
3.204 6.831 3.716
3.717 2.414 4.346
3.204 3.498 2.092
2.859 3.316 6.476
3.717 5.746 5.970
4.061 5.929 1.586
5.283 4.118 7.630
1.638 5.126 0.432

No. 10
SrCdHg2 | Alexandria via LeMat-Bulk | PBEsol | optimized geometry; spin magnetization = 0.00 μB/atom; DFT formation energy = -0.352 eV per atom
1.0
4.653 -0.001 -0.002
0.000 5.004 -0.064
-2.327 -2.435 4.404
Hg Sr Cd
2 1 1
Cartesian
2.326 2.566 4.321
2.326 0.030 2.112
2.327 2.502 -0.032
0.000 2.541 2.243

No. 11
ZnBi2Au | Alexandria via LeMat-Bulk | PBEsol | optimized geometry; spin magnetization = 0.00 μB/atom; DFT formation energy = 0.212 eV per atom
1.0
-1.363 4.131 -2.222
-0.743 -2.475 -4.145
-7.442 -2.330 5.603
Zn Bi Au
2 4 2
Cartesian
-4.929 1.315 0.099
-1.053 0.828 -3.184
-5.843 -1.534 3.416
-6.900 -0.718 0.213
-3.335 2.114 -2.103
-3.019 -1.208 -3.054
0.000 0.000 0.000
-4.619 -1.988 -0.863

No. 12
SrCuSe2 | Alexandria via LeMat-Bulk | PBEsol | optimized geometry; ΔE_f (raw) = -2.13 eV per formula unit; spin magnetization = 0.00 μB/atom
1.0
4.069 0.000 0.000
0.000 4.069 0.000
-2.035 -2.035 5.294
Sr Se Cu
1 2 1
Cartesian
2.035 2.035 0.000
2.035 0.000 2.647
0.000 0.000 0.000
0.000 2.035 2.647

No. 13
TbNd3 | Alexandria via LeMat-Bulk | PBEsol | optimized geometry; spin magnetization = 0.00 μB/atom; DFT formation energy = 0.029 eV per atom
1.0
-5.172 2.464 -0.891
-3.220 -6.300 1.264
1.236 4.555 5.420
Nd Tb
6 2
Cartesian
-6.355 -2.640 1.289
-2.408 0.214 5.135
-1.418 1.085 1.798
-0.801 3.359 4.504
-5.738 -0.366 3.995
-4.748 0.505 0.658
-3.028 -2.066 2.427
-4.128 2.785 3.366

No. 14
MgBe2Mo | Alexandria via LeMat-Bulk | PBEsol | optimized geometry; spin magnetization = 0.00 μB/atom; DFT formation energy = 0.269 eV per atom
1.0
-2.160 1.552 0.418
0.259 -0.757 4.151
3.533 3.071 -1.813
Mg Mo Be
1 1 2
Cartesian
-0.847 0.537 2.303
0.145 2.421 0.432
1.533 1.506 2.331
1.482 3.665 2.728

No. 15
TeMoO3 | Alexandria via LeMat-Bulk | PBEsol | optimized geometry; ΔE_f (raw) = -4.76 eV per formula unit; spin magnetization = 0.00 μB/atom
1.0
3.963 0.000 0.000
0.000 3.963 0.000
0.000 0.000 3.963
O Mo Te
3 1 1
Cartesian
0.000 0.000 1.982
1.982 0.000 0.000
0.000 1.982 0.000
0.000 0.000 0.000
1.982 1.982 1.982

No. 16
Rb2Ni3S4 | Alexandria via LeMat-Bulk | PBEsol | optimized geometry; ΔE_f (raw) = -6.83 eV per formula unit; spin magnetization = 0.00 μB/atom
1.0
-4.015 2.276 3.364
2.651 -4.767 1.693
5.393 4.968 0.577
S Rb Ni
4 2 3
Cartesian
-1.907 1.877 3.736
1.506 5.280 3.008
2.523 -2.804 2.626
5.936 0.600 1.897
3.208 2.535 2.114
0.821 -0.058 3.519
0.000 0.000 0.000
1.326 -2.384 0.846
-2.008 1.138 1.682

No. 17
Sr3TiOs | Alexandria via LeMat-Bulk | PBEsol | optimized geometry; spin magnetization = 0.83 μB/atom; DFT formation energy = 1.055 eV per atom
1.0
-2.455 -1.343 -4.960
5.014 0.578 -2.638
1.126 -5.504 0.933
Sr Ti Os
3 1 1
Cartesian
-1.228 -0.672 -2.480
2.507 0.289 -1.319
0.563 -2.752 0.467
1.842 -3.135 -3.333
0.000 0.000 0.000

No. 18
MoAs2Cl | Alexandria via LeMat-Bulk | PBEsol | optimized geometry; ΔE_f (raw) = 2.60 eV per formula unit; spin magnetization = 0.22 μB/atom
1.0
4.565 0.000 0.000
2.283 3.953 0.000
2.283 1.318 3.727
Mo Cl As
1 1 2
Cartesian
4.565 2.636 1.864
0.000 0.000 0.000
6.848 3.953 2.796
2.283 1.318 0.932

No. 19
TcPtO3 | Alexandria via LeMat-Bulk | PBEsol | optimized geometry; ΔE_f (raw) = 2.39 eV per formula unit; spin magnetization = 0.89 μB/atom
1.0
3.934 0.000 0.000
0.000 3.934 0.000
0.000 0.000 3.934
Tc Pt O
1 1 3
Cartesian
1.967 1.967 1.967
0.000 0.000 0.000
0.000 0.000 1.967
1.967 0.000 0.000
0.000 1.967 0.000

No. 20
Li4Ti3Cr5O16 | Alexandria via LeMat-Bulk | PBEsol | optimized geometry; ΔE_f (raw) = -65.79 eV per formula unit; spin magnetization = 0.50 μB/atom
1.0
-1.441 -0.463 5.557
2.466 -4.080 3.232
6.867 5.973 2.249
Li O Cr Ti
4 16 5 3
Cartesian
7.848 1.427 10.969
6.798 2.286 7.867
3.057 0.838 3.833
4.444 -1.553 9.884
0.871 -0.152 1.701
5.193 4.640 4.699
1.366 -2.419 6.059
2.261 -0.526 7.797
2.106 -2.196 3.333
4.465 2.077 4.273
3.745 1.845 7.063
6.576 0.298 10.588
5.704 0.031 5.897
2.879 -0.333 5.356
3.972 -2.111 6.779
3.167 -2.679 9.489
0.156 -0.391 4.493
6.234 2.821 6.088
6.911 3.050 3.677
5.004 -0.172 8.676
6.259 1.478 4.671
4.349 3.246 5.808
4.040 -0.120 6.977
7.091 4.343 5.160
2.312 -2.491 7.760
1.102 -0.492 6.204
3.032 -2.279 5.055
5.087 3.502 3.101